VASP calculation (GGA-PBEsol) on a geometry-optimized LaMgSb structure.

Computed properties:
**Energy relative to the elements, uncorrected**: -0.416 eV per atom
**Excess energy over the best structure of this formula in the dataset**: 0.081 eV per atom
**DOS at the Fermi energy**: 2.2 states/eV/f.u.
**Magnetic moment**: 0.0 μB/f.u.

extended XYZ file:
```
3
Lattice="-3.558 -1.565 -3.261 0.094 -4.754 -1.768 -3.521 -3.332 1.495" Properties=species:S:1:pos:R:3 pbc="T T T"
Sb -1.746 -2.413 -0.883
Mg -3.493 -4.826 -1.767
La 0.000 0.000 0.000
```

---

VASP calculation (GGA-PBEsol) on a geometry-optimized Zr2Co21B6 structure.

Computed properties:
**DOS at the Fermi energy**: 34.7 states/eV/f.u.
**Magnetic moment**: 18.9 μB/f.u.
**Formation energy from the elements**: -31.4 kJ per mole of atoms

extended XYZ file:
```
29
Lattice="7.368 0.000 0.000 3.684 6.381 0.000 3.684 2.127 6.016" Properties=species:S:1:pos:R:3 pbc="T T T"
B 5.697 3.289 4.372
B 9.039 3.289 4.372
B 7.368 2.325 1.644
B 9.039 5.218 1.644
B 5.697 5.218 1.644
B 7.368 6.183 4.372
Co 0.000 0.000 0.000
Co 7.368 2.305 3.697
Co 7.368 4.254 0.941
Co 9.055 5.228 3.697
Co 5.680 5.228 3.697
Co 7.368 6.203 2.319
Co 7.368 4.254 5.075
Co 5.680 3.279 2.319
Co 9.055 3.279 2.319
Co 6.127 2.150 0.000
Co 1.241 2.150 0.000
Co 3.684 3.560 3.989
Co 1.241 0.717 2.027
Co 6.127 0.717 2.027
Co 3.684 4.947 2.027
Co 2.443 1.410 3.989
Co 2.443 4.231 0.000
Co 4.885 0.000 0.000
Co 4.925 4.231 0.000
Co 4.925 1.410 3.989
Co 2.483 0.000 0.000
Zr 11.052 6.381 4.512
Zr 3.684 2.127 1.504
```

---

VASP calculation (GGA-PBEsol) on a geometry-optimized Ce2Te4O11 structure.

Computed properties:
**Energy relative to the elements, uncorrected**: -1.777 eV per atom
**DOS at the Fermi energy**: 14.4 states/eV/f.u.
**Magnetic moment**: 2.0 μB/f.u.

extended XYZ file:
```
34
Lattice="5.187 0.000 0.000 2.593 6.256 -0.084 2.593 1.800 15.401" Properties=species:S:1:pos:R:3 pbc="T T T"
Ce 6.449 5.350 8.212
Ce 3.924 2.706 7.105
Ce 9.043 6.734 14.763
Ce 1.331 1.322 0.554
Te 6.373 3.378 4.481
Te 6.323 3.924 13.319
Te 6.594 7.406 12.139
Te 4.000 4.678 10.836
Te 4.051 4.132 1.997
Te 4.051 6.152 5.577
Te 6.323 1.904 9.740
Te 3.780 0.650 3.177
O 7.149 2.929 8.352
O 4.737 1.945 13.814
O 5.636 4.173 6.071
O 5.557 1.493 5.652
O 5.523 1.086 2.632
O 3.225 5.157 0.609
O 5.422 6.863 6.700
O 2.964 2.535 2.006
O 7.111 5.142 3.787
O 7.444 5.114 10.290
O 4.817 6.563 9.664
O 7.149 2.899 14.707
O 2.929 2.942 5.027
O 3.263 2.914 11.529
O 4.737 3.883 9.245
O 3.225 5.127 6.965
O 5.636 6.111 1.503
O 4.951 1.193 8.616
O 7.410 5.521 13.311
O 5.422 3.421 0.874
O 4.851 6.970 12.685
O 4.951 4.635 14.443
```

---

What is the magnetic moment in the second record? 18.9 μB/f.u.

---

Please write out number 2 again, unchanged.
VASP calculation (GGA-PBEsol) on a geometry-optimized Zr2Co21B6 structure.

Computed properties:
**DOS at the Fermi energy**: 34.7 states/eV/f.u.
**Magnetic moment**: 18.9 μB/f.u.
**Formation energy from the elements**: -31.4 kJ per mole of atoms

extended XYZ file:
```
29
Lattice="7.368 0.000 0.000 3.684 6.381 0.000 3.684 2.127 6.016" Properties=species:S:1:pos:R:3 pbc="T T T"
B 5.697 3.289 4.372
B 9.039 3.289 4.372
B 7.368 2.325 1.644
B 9.039 5.218 1.644
B 5.697 5.218 1.644
B 7.368 6.183 4.372
Co 0.000 0.000 0.000
Co 7.368 2.305 3.697
Co 7.368 4.254 0.941
Co 9.055 5.228 3.697
Co 5.680 5.228 3.697
Co 7.368 6.203 2.319
Co 7.368 4.254 5.075
Co 5.680 3.279 2.319
Co 9.055 3.279 2.319
Co 6.127 2.150 0.000
Co 1.241 2.150 0.000
Co 3.684 3.560 3.989
Co 1.241 0.717 2.027
Co 6.127 0.717 2.027
Co 3.684 4.947 2.027
Co 2.443 1.410 3.989
Co 2.443 4.231 0.000
Co 4.885 0.000 0.000
Co 4.925 4.231 0.000
Co 4.925 1.410 3.989
Co 2.483 0.000 0.000
Zr 11.052 6.381 4.512
Zr 3.684 2.127 1.504
```

---

Number 1 is which compound? LaMgSb

---

Which of these has the lowest magnetic moment? LaMgSb